Entry 1:
Below is Nd2CuNiGe2 after structural relaxation, with properties calculated at the GGA-PBE level.

Results
Symmetry: P-6m2, No. 187

a b c (Å): 4.1889 4.1889 8.2121
angles (deg): 90.00 90.00 120.00
With the nearest neighbours (Å) after each atom.
Element x y z (fractional)
Nd (0.0000, 0.0000, 0.2424)  6 Ge 3.13-3.21, 3 Ni 3.13, 3 Cu 3.21
Nd (0.0000, 0.0000, 0.7576)  6 Ge 3.13-3.21, 3 Ni 3.13, 3 Cu 3.21
Cu (0.3333, 0.6667, 0.5000)  3 Ge 2.42
Ni (0.6667, 0.3333, 0.0000)  3 Ge 2.42
Ge (0.3333, 0.6667, 0.0000)  3 Ni 2.42
Ge (0.6667, 0.3333, 0.5000)  3 Cu 2.42

***

Entry 2:
Below is Nd3Cu4Ge2Pb2 after structural relaxation, with properties calculated at the GGA-PBE level.

Results
Symmetry: Immm, No. 71

a b c (Å): 8.5489 8.5489 8.5489
angles (deg): 149.37 132.82 57.30
With the nearest neighbours (Å) after each atom.
Element x y z (fractional)
Nd (0.0000, 0.0000, 0.0000)  4 Ge 3.11, 2 Pb 3.29, 8 Cu 3.46
Nd (0.3742, 0.8742, 0.5000)  4 Cu 3.15, 4 Ge 3.21, 2 Pb 3.24
Nd (0.6258, 0.1258, 0.5000)  4 Cu 3.15, 4 Ge 3.21, 2 Pb 3.24
Cu (0.0328, 0.3474, 0.6854)  1 Ge 2.45, 1 Cu 2.54
Cu (0.3381, 0.6526, 0.6854)  1 Ge 2.45, 1 Cu 2.54
Cu (0.6619, 0.3474, 0.3146)  1 Ge 2.45, 1 Cu 2.54
Cu (0.9672, 0.6526, 0.3146)  1 Ge 2.45, 1 Cu 2.54
Ge (0.3123, 0.5000, 0.8123)  2 Cu 2.45, 1 Ge 2.57
Ge (0.6877, 0.5000, 0.1877)  2 Cu 2.45, 1 Ge 2.57
Pb (0.2190, 0.2190, 0.0000)  6 Cu 2.77-2.89
Pb (0.7810, 0.7810, 0.0000)  6 Cu 2.77-2.89

***

Entry 3:
Below is NdCuGe2Pd after structural relaxation, with properties calculated at the GGA-PBE level.

Results
Symmetry: I-4m2, No. 119

a b c (Å): 5.9784 5.9784 5.9784
angles (deg): 138.55 138.55 60.06
With the nearest neighbours (Å) after each atom.
Element x y z (fractional)
Nd (0.0000, 0.0000, 0.0000)  8 Ge 3.24, 4 Pd 3.34, 4 Cu 3.34
Cu (0.2500, 0.7500, 0.5000)  4 Ge 2.50
Ge (0.3791, 0.3791, 0.0000)  1 Ge 2.50, 2 Cu 2.50, 2 Pd 2.50
Ge (0.6209, 0.6209, 0.0000)  1 Ge 2.50, 2 Pd 2.50, 2 Cu 2.50
Pd (0.7500, 0.2500, 0.5000)  4 Ge 2.50

***

Entry 4:
Below is PrNdCu2Ge2 after structural relaxation, with properties calculated at the GGA-PBE level.

Results
Symmetry: P-3m1, No. 164

a b c (Å): 4.2921 4.2921 8.0393
angles (deg): 90.00 90.00 120.00
With the nearest neighbours (Å) after each atom.
Element x y z (fractional)
Pr (0.0000, 0.0000, 0.0000)  6 Cu 3.19, 6 Ge 3.19
Nd (0.0000, 0.0000, 0.5000)  6 Ge 3.19, 6 Cu 3.19
Cu (0.3333, 0.6667, 0.7495)  3 Ge 2.48
Cu (0.6667, 0.3333, 0.2505)  3 Ge 2.48
Ge (0.3333, 0.6667, 0.2507)  3 Cu 2.48
Ge (0.6667, 0.3333, 0.7493)  3 Cu 2.48

***

Entry 5:
Below is NdCuGeSe2S after structural relaxation, with properties calculated at the GGA-PBE level.

Results
Symmetry: Cmcm, No. 63

a b c (Å): 6.8100 6.8100 10.6015
angles (deg): 90.00 90.00 146.49
With the nearest neighbours (Å) after each atom.
Element x y z (fractional)
Nd (0.0000, 0.0000, 0.0000)  2 S 2.85, 4 Se 2.95
Nd (0.0000, 0.0000, 0.5000)  2 S 2.85, 4 Se 2.95
Cu (0.4761, 0.5239, 0.7500)  2 S 2.39, 2 Se 2.48
Cu (0.5239, 0.4761, 0.2500)  2 S 2.39, 2 Se 2.48
Ge (0.2380, 0.7620, 0.2500)  4 Se 2.87, 2 S 3.07
Ge (0.7620, 0.2380, 0.7500)  4 Se 2.87, 2 S 3.07
Se (0.3448, 0.6552, 0.5811)  1 Cu 2.48
Se (0.3448, 0.6552, 0.9189)  1 Cu 2.48
Se (0.6552, 0.3448, 0.0811)  1 Cu 2.48
Se (0.6552, 0.3448, 0.4189)  1 Cu 2.48
S (0.0808, 0.9192, 0.7500)  2 Cu 2.39
S (0.9192, 0.0808, 0.2500)  2 Cu 2.39

***

Entry 6:
Below is NdCuGeTe2S after structural relaxation, with properties calculated at the GGA-PBE level.

Results
Symmetry: Cmcm, No. 63

a b c (Å): 7.4786 7.4786 10.5317
angles (deg): 90.00 90.00 148.42
With the nearest neighbours (Å) after each atom.
Element x y z (fractional)
Nd (0.0000, 0.0000, 0.0000)  2 S 2.80
Nd (0.0000, 0.0000, 0.5000)  2 S 2.80
Cu (0.4790, 0.5210, 0.7500)  2 S 2.39
Cu (0.5210, 0.4790, 0.2500)  2 S 2.39
Ge (0.2395, 0.7605, 0.2500)  4 Te 2.99
Ge (0.7605, 0.2395, 0.7500)  4 Te 2.99
Te (0.3417, 0.6583, 0.5735)  1 Cu 2.71, 2 Ge 2.99
Te (0.3417, 0.6583, 0.9265)  1 Cu 2.71, 2 Ge 2.99
Te (0.6583, 0.3417, 0.0735)  1 Cu 2.71, 2 Ge 2.99
Te (0.6583, 0.3417, 0.4265)  1 Cu 2.71, 2 Ge 2.99
S (0.0662, 0.9338, 0.7500)  2 Cu 2.39
S (0.9338, 0.0662, 0.2500)  2 Cu 2.39

***

Entry 7:
Below is NdSc2Cu4Ge4 after structural relaxation, with properties calculated at the GGA-PBE level.

Results
Symmetry: Immm, No. 71

a b c (Å): 7.8640 7.8640 7.8640
angles (deg): 150.05 129.00 60.27
With the nearest neighbours (Å) after each atom.
Element x y z (fractional)
Nd (0.0000, 0.0000, 0.0000)  6 Ge 2.95-3.03
Sc (0.3733, 0.8733, 0.5000)  6 Ge 2.88-2.94, 6 Cu 2.97-3.03
Sc (0.6267, 0.1267, 0.5000)  6 Ge 2.88-2.94, 6 Cu 2.97-3.03
Cu (0.0210, 0.3276, 0.6933)  4 Ge 2.49-2.52, 1 Cu 2.62
Cu (0.3657, 0.6724, 0.6933)  4 Ge 2.49-2.52, 1 Cu 2.62
Cu (0.6343, 0.3276, 0.3067)  4 Ge 2.49-2.52, 1 Cu 2.62
Cu (0.9790, 0.6724, 0.3067)  4 Ge 2.49-2.52, 1 Cu 2.62
Ge (0.2227, 0.2227, 0.0000)  6 Cu 2.51-2.52
Ge (0.3167, 0.5000, 0.8167)  1 Ge 2.48, 2 Cu 2.49
Ge (0.6833, 0.5000, 0.1833)  1 Ge 2.48, 2 Cu 2.49
Ge (0.7773, 0.7773, 0.0000)  6 Cu 2.51-2.52

***

Entry 8:
Below is Nd3CuGeSe7 after structural relaxation, with properties calculated at the GGA-PBE level.

Results
Symmetry: P6_3, No. 173

a b c (Å): 10.6371 10.6371 6.1565
angles (deg): 90.00 90.00 120.00
With the nearest neighbours (Å) after each atom.
Element x y z (fractional)
Nd (0.1308, 0.7755, 0.0000)  7 Se 2.96-3.21
Nd (0.2245, 0.3553, 0.0000)  7 Se 2.96-3.21
Nd (0.3553, 0.1308, 0.5000)  7 Se 2.96-3.21
Nd (0.6447, 0.8692, 0.0000)  7 Se 2.96-3.21
Nd (0.7755, 0.6447, 0.5000)  7 Se 2.96-3.21
Nd (0.8692, 0.2245, 0.5000)  7 Se 2.96-3.21
Cu (0.0000, 0.0000, 0.4676)  3 Se 2.39
Cu (0.0000, 0.0000, 0.9676)  3 Se 2.39
Ge (0.3333, 0.6667, 0.5834)  4 Se 2.36-2.40
Ge (0.6667, 0.3333, 0.0834)  4 Se 2.36-2.40
Se (0.0952, 0.8384, 0.4800)  1 Cu 2.39
Se (0.0978, 0.5186, 0.7431)  1 Ge 2.40
Se (0.1616, 0.2568, 0.4800)  1 Cu 2.39
Se (0.2568, 0.0952, 0.9800)  1 Cu 2.39
Se (0.3333, 0.6667, 0.2001)  1 Ge 2.36
Se (0.4207, 0.9022, 0.7431)  1 Ge 2.40
Se (0.4814, 0.5793, 0.7431)  1 Ge 2.40
Se (0.5186, 0.4207, 0.2431)  1 Ge 2.40
Se (0.5793, 0.0978, 0.2431)  1 Ge 2.40
Se (0.6667, 0.3333, 0.7001)  1 Ge 2.36
Se (0.7432, 0.9048, 0.4800)  1 Cu 2.39
Se (0.8384, 0.7432, 0.9800)  1 Cu 2.39
Se (0.9022, 0.4814, 0.2431)  1 Ge 2.40
Se (0.9048, 0.1616, 0.9800)  1 Cu 2.39

***

Entry 9:
Below is NdCuGeTeSe2 after structural relaxation, with properties calculated at the GGA-PBE level.

Results
Symmetry: Cmcm, No. 63

a b c (Å): 7.0270 7.0270 11.3731
angles (deg): 90.00 90.00 146.58
With the nearest neighbours (Å) after each atom.
Element x y z (fractional)
Nd (0.0000, 0.0000, 0.0000)  4 Se 2.95, 2 Te 3.16
Nd (0.0000, 0.0000, 0.5000)  4 Se 2.95, 2 Te 3.16
Cu (0.4726, 0.5274, 0.7500)  2 Se 2.48, 2 Te 2.68
Cu (0.5274, 0.4726, 0.2500)  2 Se 2.48, 2 Te 2.68
Ge (0.1996, 0.8004, 0.2500)  4 Se 2.88, 2 Cu 3.08
Ge (0.8004, 0.1996, 0.7500)  4 Se 2.88, 2 Cu 3.08
Te (0.1031, 0.8969, 0.7500)  2 Cu 2.68
Te (0.8969, 0.1031, 0.2500)  2 Cu 2.68
Se (0.3558, 0.6442, 0.5818)  1 Cu 2.48
Se (0.3558, 0.6442, 0.9182)  1 Cu 2.48
Se (0.6442, 0.3558, 0.0818)  1 Cu 2.48
Se (0.6442, 0.3558, 0.4182)  1 Cu 2.48

***

Entry 10:
Below is NdCu2SiGe after structural relaxation, with properties calculated at the GGA-PBE level.

Results
Symmetry: I4mm, No. 107

a b c (Å): 5.8441 5.8441 5.8441
angles (deg): 138.76 138.76 59.74
With the nearest neighbours (Å) after each atom.
Element x y z (fractional)
Nd (0.0000, 0.0000, 0.0000)  4 Ge 3.15, 4 Si 3.17, 8 Cu 3.22-3.31
Cu (0.2555, 0.7555, 0.5000)  2 Si 2.40, 2 Ge 2.48
Cu (0.7555, 0.2555, 0.5000)  2 Si 2.40, 2 Ge 2.48
Si (0.3767, 0.3767, 0.0000)  4 Cu 2.40, 1 Ge 2.46
Ge (0.6197, 0.6197, 0.0000)  1 Si 2.46, 4 Cu 2.48

***

| no. | magnetization (μB per atom) | V (Å³/atom) | DFT total energy (eV per formula unit) |
| --- | --- | --- | --- |
| 1 | 0.000 | 20.8 | -32.15 |
| 2 | 0.000 | 21.1 | -51.10 |
| 3 | 0.000 | 18.5 | -26.35 |
| 4 | 0.003 | 21.4 | -30.14 |
| 5 | 0.000 | 22.6 | -29.16 |
| 6 | 0.000 | 25.7 | -27.28 |
| 7 | 0.000 | 17.0 | -57.24 |
| 8 | 0.000 | 25.1 | -62.83 |
| 9 | 0.000 | 25.8 | -27.63 |
| 10 | 0.000 | 17.2 | -25.06 |